This record from Alexandria describes ZrSc2F after structural relaxation. The functional is PBE.

Computed properties:
SG ... I-42d (122)
M_tot ... 0.00 μB/f.u.
Energy above the most stable polymorph in this dataset ... 206 meV/atom
Raw formation energy ... -0.9295 eV/atom

Unit cell a=6.064 b=6.064 c=6.064 alpha=113.83 beta=113.83 gamma=101.07
Positions (direct):
Zr 0.000 0.000 0.000
Zr 0.750 0.250 0.500
Sc 0.251 0.625 0.126
Sc 0.375 0.501 0.626
Sc 0.499 0.125 0.874
Sc 0.875 0.749 0.374
F 0.250 0.750 0.500
F 0.500 0.500 0.000